(1)
Compound: LaMgTl2
Source: Alexandria
Functional: meta-GGA SCAN
Structure: single point on PBEsol structure

The structure in CIF format:
```
data_LaMgTl2
_chemical_formula_sum 'La3 Mg3 Tl6'
_space_group_name_H-M_alt 'P 1'
_space_group_IT_number 1
_cell_length_a 3.4258
_cell_length_b 3.4258
_cell_length_c 31.4324
_cell_angle_alpha 90.00
_cell_angle_beta 90.00
_cell_angle_gamma 120.00
loop_
_space_group_symop_operation_xyz
'x,y,z'
loop_
_atom_site_label
_atom_site_type_symbol
_atom_site_fract_x
_atom_site_fract_y
_atom_site_fract_z
_atom_site_occupancy
La1 La 0.0000 0.0000 0.0000 1
La2 La 0.3333 0.6667 0.6667 1
La3 La 0.6667 0.3333 0.3333 1
Mg1 Mg 0.0000 0.0000 0.5000 1
Mg2 Mg 0.3333 0.6667 0.1667 1
Mg3 Mg 0.6667 0.3333 0.8333 1
Tl1 Tl 0.0000 0.0000 0.2434 1
Tl2 Tl 0.0000 0.0000 0.7566 1
Tl3 Tl 0.3333 0.6667 0.4233 1
Tl4 Tl 0.3333 0.6667 0.9100 1
Tl5 Tl 0.6667 0.3333 0.0900 1
Tl6 Tl 0.6667 0.3333 0.5767 1
```

As for the calculated total energy: -581.0 eV per cell. As for the magnetization: 0.0 μB/cell. The energy relative to the lowest polymorph listed for this composition comes out at 0.297 eV/atom. As for the space group: R-3m, No. 166.

=====

(2)
Compound: LaMgTl
Source: Alexandria
Functional: meta-GGA SCAN
Structure: single point on PBEsol structure

The structure in CIF format:
```
data_LaMgTl
_chemical_formula_sum 'La1 Mg1 Tl1'
_space_group_name_H-M_alt 'P 1'
_space_group_IT_number 1
_cell_length_a 5.0470
_cell_length_b 5.0470
_cell_length_c 3.7256
_cell_angle_alpha 90.00
_cell_angle_beta 90.00
_cell_angle_gamma 120.00
loop_
_space_group_symop_operation_xyz
'x,y,z'
loop_
_atom_site_label
_atom_site_type_symbol
_atom_site_fract_x
_atom_site_fract_y
_atom_site_fract_z
_atom_site_occupancy
La1 La 0.0000 0.0000 0.0000 1
Mg1 Mg 0.6667 0.3333 0.5000 1
Tl1 Tl 0.3333 0.6667 0.5000 1
```

As for the calculated total energy: -121.9 eV per cell. As for the magnetization: 0.5 μB/cell. As for the space group: P-6m2, No. 187.

=====

(3)
Compound: LaTmMg2
Source: Alexandria
Functional: meta-GGA SCAN
Structure: single point on PBEsol structure

The structure in CIF format:
```
data_LaTmMg2
_chemical_formula_sum 'La4 Tm4 Mg8'
_space_group_name_H-M_alt 'P 1'
_space_group_IT_number 1
_cell_length_a 7.6102
_cell_length_b 7.6102
_cell_length_c 7.6102
_cell_angle_alpha 90.00
_cell_angle_beta 90.00
_cell_angle_gamma 90.00
loop_
_space_group_symop_operation_xyz
'x,y,z'
loop_
_atom_site_label
_atom_site_type_symbol
_atom_site_fract_x
_atom_site_fract_y
_atom_site_fract_z
_atom_site_occupancy
La1 La 0.0000 0.0000 0.0000 1
La2 La 0.0000 0.5000 0.5000 1
La3 La 0.5000 0.0000 0.5000 1
La4 La 0.5000 0.5000 0.0000 1
Tm1 Tm 0.0000 0.0000 0.5000 1
Tm2 Tm 0.0000 0.5000 0.0000 1
Tm3 Tm 0.5000 0.0000 0.0000 1
Tm4 Tm 0.5000 0.5000 0.5000 1
Mg1 Mg 0.2500 0.2500 0.2500 1
Mg2 Mg 0.2500 0.2500 0.7500 1
Mg3 Mg 0.2500 0.7500 0.2500 1
Mg4 Mg 0.2500 0.7500 0.7500 1
Mg5 Mg 0.7500 0.2500 0.2500 1
Mg6 Mg 0.7500 0.2500 0.7500 1
Mg7 Mg 0.7500 0.7500 0.2500 1
Mg8 Mg 0.7500 0.7500 0.7500 1
```

As for the calculated total energy: -420.9 eV per cell. As for the magnetization: 0.0 μB/cell. As for the space group: Fm-3m, No. 225.

=====

(4)
Compound: LaMgW2
Source: Alexandria
Functional: meta-GGA SCAN
Structure: single point on PBEsol structure

The structure in CIF format:
```
data_LaMgW2
_chemical_formula_sum 'La2 Mg2 W4'
_space_group_name_H-M_alt 'P 1'
_space_group_IT_number 1
_cell_length_a 5.8253
_cell_length_b 9.8791
_cell_length_c 2.8033
_cell_angle_alpha 90.00
_cell_angle_beta 109.36
_cell_angle_gamma 90.00
loop_
_space_group_symop_operation_xyz
'x,y,z'
loop_
_atom_site_label
_atom_site_type_symbol
_atom_site_fract_x
_atom_site_fract_y
_atom_site_fract_z
_atom_site_occupancy
La1 La 0.0000 0.0000 0.0000 1
La2 La 0.5000 0.5000 0.0000 1
Mg1 Mg 0.0000 0.5000 0.0000 1
Mg2 Mg 0.5000 0.0000 0.0000 1
W1 W 0.2500 0.2500 0.5000 1
W2 W 0.2500 0.7500 0.5000 1
W3 W 0.7500 0.2500 0.5000 1
W4 W 0.7500 0.7500 0.5000 1
```

As for the calculated total energy: -368.0 eV per cell. As for the magnetization: 0.0 μB/cell. The energy relative to the lowest polymorph listed for this composition comes out at 0.404 eV/atom. As for the space group: C2/m, No. 12.